No. 1
VASP calculation (PBE) on a relaxed structure of LiTbDyMn.

Lattice parameters (Å, degrees): 5.029 5.029 5.029 60.00 60.00 60.00
Element x y z (fractional)
Li  0.000  0.000  0.000
Tb  0.250  0.250  0.250
Dy  0.750  0.750  0.750
Mn  0.500  0.500  0.500

Fermi-level density of states (states/eV per cell): 4.06
Energy of formation from the pure elements (eV/atom): 0.123
VASP energy (eV per cell): -19.82


No. 2
VASP calculation (PBE) on a relaxed structure of CeHfZn4.

Lattice parameters (Å, degrees): 5.355 5.355 5.355 60.00 60.00 60.00
Element x y z (fractional)
Ce  0.000  0.000  0.000
Hf  0.250  0.250  0.250
Zn  0.128  0.624  0.624
Zn  0.624  0.128  0.624
Zn  0.624  0.624  0.128
Zn  0.624  0.624  0.624

Fermi-level density of states (states/eV per cell): 5.69
ΔE to the lowest computed polymorph (meV per atom): 3
Energy of formation from the pure elements (eV/atom): -0.191
VASP energy (eV per cell): -22.13


No. 3
VASP calculation (PBE) on a relaxed structure of Ba3In2Sb4.

Lattice parameters (Å, degrees): 8.200 8.200 10.840 121.73 121.73 33.86
Element x y z (fractional)
Ba  0.000  0.000  0.000
Ba  0.375  0.375  0.276
Ba  0.625  0.625  0.724
In  0.319  0.319  0.658
In  0.681  0.681  0.342
Sb  0.097  0.097  0.408
Sb  0.312  0.312  0.914
Sb  0.688  0.688  0.086
Sb  0.903  0.903  0.592

Fermi-level density of states (states/eV per cell): 1.92
ΔE_f (raw) (meV/atom): -704
ΔE to the lowest computed polymorph (meV per atom): 25
VASP energy (eV per cell): -34.07


No. 4
VASP calculation (PBE) on a relaxed structure of MoPb2.

Lattice parameters (Å, degrees): 4.654 5.515 5.515 34.29 90.00 90.00
Element x y z (fractional)
Mo  0.000  0.000  0.000
Pb  0.000  0.730  0.730
Pb  0.500  0.478  0.478

Fermi-level density of states (states/eV per cell): 2.17
ΔE to the lowest computed polymorph (meV per atom): 209
Energy of formation from the pure elements (eV/atom): 0.606
VASP energy (eV per cell): -16.43


No. 5
VASP calculation (PBE) on a relaxed structure of CdPtAu2.

Lattice parameters (Å, degrees): 5.066 5.066 5.066 131.48 131.48 71.05
Element x y z (fractional)
Cd  0.000  0.000  0.000
Pt  0.500  0.500  0.000
Au  0.250  0.750  0.500
Au  0.750  0.250  0.500

Fermi-level density of states (states/eV per cell): 1.42
Energy of formation from the pure elements (eV/atom): -0.129
VASP energy (eV per cell): -14.03


No. 6
VASP calculation (PBE) on a relaxed structure of Sr4CdHg2.

Lattice parameters (Å, degrees): 6.958 6.958 6.958 109.76 109.76 108.90
Element x y z (fractional)
Sr  0.000  0.000  0.500
Sr  0.000  0.500  0.000
Sr  0.500  0.000  0.000
Sr  0.500  0.500  0.500
Cd  0.000  0.000  0.000
Hg  0.000  0.500  0.500
Hg  0.500  0.000  0.500

Fermi-level density of states (states/eV per cell): 8.26
Energy of formation from the pure elements (eV/atom): -0.353
VASP energy (eV per cell): -10.72


No. 7
VASP calculation (PBE) on a relaxed structure of HfGeBi2W.

Lattice parameters (Å, degrees): 5.442 5.442 4.783 90.00 90.00 90.00
Element x y z (fractional)
Hf  0.000  0.000  0.000
Ge  0.500  0.500  0.000
Bi  0.000  0.500  0.500
Bi  0.500  0.000  0.500
W  0.500  0.500  0.500

Fermi-level density of states (states/eV per cell): 5.29
Energy of formation from the pure elements (eV/atom): 1.075
VASP energy (eV per cell): -29.91


No. 8
VASP calculation (PBE) on a relaxed structure of ScCuGe.

Lattice parameters (Å, degrees): 3.989 5.097 5.429 92.65 90.07 112.98
Element x y z (fractional)
Sc  0.000  0.000  0.000
Sc  0.389  0.777  0.447
Cu  0.093  0.186  0.512
Cu  0.691  0.380  0.742
Ge  0.301  0.601  0.923
Ge  0.683  0.365  0.255

Fermi-level density of states (states/eV per cell): 3.97
Energy of formation from the pure elements (eV/atom): -0.398
VASP energy (eV per cell): -32.48